Entry from Alexandria: a relaxed structure of Mg2Cd9In (GGA-PBE).

Properties
DOS at the Fermi energy: 3.6 states/eV per cell
E above lowest polymorph: 52 meV/atom
Formation energy from the elements: 24 meV per atom
E: -13.9 eV for the cell shown

Unit cell a=10.1719 b=10.1719 c=3.1306 alpha=90.00 beta=90.00 gamma=120.00
Last column: nearest neighbours and their distance in Å.
Fractional positions:
Mg 0.3333 0.6667 0.0000  9 Cd 2.94-3.18, 2 Mg 3.13
Mg 0.6667 0.3333 0.0000  9 Cd 2.94-3.18, 2 Mg 3.13
Cd 0.0000 0.5000 0.0000  2 Mg 2.94, 10 Cd 3.13-3.26
Cd 0.1761 0.3523 0.5000  8 Cd 3.10-3.26, 2 Mg 3.18
Cd 0.1761 0.8239 0.5000  8 Cd 3.10-3.26, 2 Mg 3.18
Cd 0.3523 0.1761 0.5000  8 Cd 3.10-3.26, 2 Mg 3.18
Cd 0.5000 0.0000 0.0000  2 Mg 2.94, 10 Cd 3.13-3.26
Cd 0.5000 0.5000 0.0000  2 Mg 2.94, 10 Cd 3.13-3.26
Cd 0.6477 0.8239 0.5000  8 Cd 3.10-3.26, 2 Mg 3.18
Cd 0.8239 0.1761 0.5000  8 Cd 3.10-3.26, 2 Mg 3.18
Cd 0.8239 0.6477 0.5000  8 Cd 3.10-3.26, 2 Mg 3.18
In 0.0000 0.0000 0.0000  2 In 3.13, 12 Cd 3.48